w | Computed, not measured: crystalline InHgGe2 at its relaxed geometry at the PBE level of DFT.

Cell: 5.0458 5.0458 5.0458 Å, 60.00 60.00 60.00°
Fractional positions:
Hg  0.5000  0.5000  0.5000
Ge  0.2500  0.2500  0.2500
Ge  0.7500  0.7500  0.7500
In  0.0000  0.0000  0.0000

***

x | Computed, not measured: crystalline InHgGe2 at its relaxed geometry at the PBE level of DFT.

Cell: 4.1416 4.1416 11.2879 Å, 79.43 79.43 90.00°
Fractional positions:
Ge  0.8750  0.8825  0.7500
Ge  0.3750  0.3675  0.7500
Ge  0.1175  0.6250  0.2500
Ge  0.6325  0.1250  0.2500
Hg  0.0000  0.0000  0.0000
Hg  0.7500  0.2500  0.5000
In  0.2500  0.7500  0.5000
In  0.5000  0.5000  0.0000

***

The winner here is x, beating the second structure by 55 meV per atom.

***

w | Computed, not measured: crystalline In3HgGe at its relaxed geometry at the PBE level of DFT.

Cell: 5.4997 5.4997 5.4997 Å, 90.00 90.00 90.00°
Fractional positions:
Hg  0.0000  0.0000  0.0000
In  0.0000  0.5000  0.0000
In  0.5000  0.0000  0.0000
In  0.0000  0.0000  0.5000
Ge  0.5000  0.5000  0.5000

***

x | Computed, not measured: crystalline In3HgGe at its relaxed geometry at the PBE level of DFT.

Cell: 5.4484 5.4484 5.4484 Å, 90.00 90.00 90.00°
Fractional positions:
In  0.0000  0.5000  0.0000
In  0.5000  0.0000  0.0000
In  0.0000  0.0000  0.5000
Hg  0.5000  0.5000  0.5000
Ge  0.0000  0.0000  0.0000

***

The winner here is x, beating the second structure by 281 meV per atom.

***

w | Computed, not measured: crystalline PuInHgGe at its relaxed geometry at the PBE level of DFT.

Cell: 4.2754 4.3917 4.9651 Å, 90.00 90.00 90.00°
Fractional positions:
Pu  0.0000  0.5000  0.5000
Hg  0.5000  0.5000  0.0000
Ge  0.5000  0.0000  0.5000
In  0.0000  0.0000  0.0000

***

x | Computed, not measured: crystalline PuInHgGe at its relaxed geometry at the PBE level of DFT.

Cell: 5.1184 5.1184 5.1184 Å, 60.00 60.00 60.00°
Fractional positions:
Ge  0.0000  0.0000  0.0000
In  0.7500  0.7500  0.7500
Pu  0.2500  0.2500  0.2500
Hg  0.5000  0.5000  0.5000

***

The winner here is w, beating the second structure by 96 meV per atom.

***

w | Computed, not measured: crystalline Hg2GeIr2 at its relaxed geometry at the PBE level of DFT.

Cell: 4.0234 4.0234 6.9539 Å, 73.18 73.18 90.00°
Fractional positions:
Ir  0.4052  0.4052  0.1895
Ir  0.5948  0.5948  0.8105
Ge  0.0000  0.0000  0.0000
Hg  0.7500  0.2500  0.5000
Hg  0.2500  0.7500  0.5000

***

x | Computed, not measured: crystalline Hg2GeIr2 at its relaxed geometry at the PBE level of DFT.

Cell: 6.3865 6.3865 4.5575 Å, 90.00 90.00 90.00°
Fractional positions:
Ir  0.6485  0.1485  0.0000
Ir  0.8515  0.6485  0.0000
Ir  0.3515  0.8515  0.0000
Ir  0.1485  0.3515  0.0000
Hg  0.6635  0.8365  0.5000
Hg  0.3365  0.1635  0.5000
Hg  0.1635  0.6635  0.5000
Hg  0.8365  0.3365  0.5000
Ge  0.5000  0.5000  0.0000
Ge  0.0000  0.0000  0.0000

***

The winner here is x, beating the second structure by 569 meV per atom.

***

w | Computed, not measured: crystalline HgGeIr2 at its relaxed geometry at the PBE level of DFT.

Cell: 4.5153 4.5153 4.5153 Å, 60.00 60.00 60.00°
Fractional positions:
Ge  0.0000  0.0000  0.0000
Ir  0.2500  0.2500  0.2500
Ir  0.7500  0.7500  0.7500
Hg  0.5000  0.5000  0.5000

***

x | Computed, not measured: crystalline HgGeIr2 at its relaxed geometry at the PBE level of DFT.

Cell: 7.1545 7.1545 5.7652 Å, 51.65 51.65 90.00°
Fractional positions:
Ir  0.5779  0.1250  0.2500
Ir  0.1721  0.6250  0.2500
Ir  0.8750  0.8279  0.7500
Ir  0.3750  0.4221  0.7500
Hg  0.0000  0.0000  0.0000
Hg  0.7500  0.2500  0.5000
Ge  0.5000  0.5000  0.0000
Ge  0.2500  0.7500  0.5000

***

The winner here is w, beating the second structure by 11 meV per atom.

***

w | Computed, not measured: crystalline RbHg2GeIr at its relaxed geometry at the PBE level of DFT.

Cell: 5.4408 5.4408 4.7241 Å, 90.00 90.00 90.00°
Fractional positions:
Ir  0.0000  0.0000  0.0000
Hg  0.5000  0.0000  0.0000
Hg  0.0000  0.5000  0.0000
Ge  0.0000  0.0000  0.5000
Rb  0.5000  0.5000  0.5000

***

x | Computed, not measured: crystalline RbHg2GeIr at its relaxed geometry at the PBE level of DFT.

Cell: 5.9822 5.1665 5.9822 Å, 90.00 90.00 90.00°
Fractional positions:
Ge  0.5000  0.5000  0.5000
Hg  0.5000  0.0000  0.0000
Hg  0.0000  0.0000  0.5000
Rb  0.0000  0.0000  0.0000
Ir  0.0000  0.5000  0.0000

***

The winner here is w, beating the second structure by 1891 meV per atom.